No. 1
CdCoAs2Pt after structural relaxation, computed with PBE-GGA.

a b c (Å): 4.9454 4.9454 4.7115
angles (deg): 90.00 90.00 90.00
Last column: nearest neighbours and their distance in Å.
Positions (direct):
1 Cd 0.0000 0.0000 0.0000  2 Co 2.36, 4 As 2.47
2 Co 0.0000 0.0000 0.5000  2 Cd 2.36
3 As 0.0000 0.5000 0.0000  2 Cd 2.47
4 As 0.5000 0.0000 0.0000  2 Cd 2.47
5 Pt 0.5000 0.5000 0.5000  8 As 3.42, 4 Co 3.50

Values from the calculation:
**Symmetry**: P4/mmm (123)
**E**: -3.190 eV per atom

No. 2
Na2AgRh after structural relaxation, computed with PBE-GGA.

a b c (Å): 10.8616 10.8616 10.8616
angles (deg): 15.21 15.21 15.21
Last column: nearest neighbours and their distance in Å.
Positions (direct):
1 Na 0.0839 0.0839 0.0839  1 Rh 2.70, 6 Na 2.88
2 Na 0.9161 0.9161 0.9161  1 Rh 2.70, 6 Na 2.88
3 Ag 0.5000 0.5000 0.5000  6 Ag 2.88, 6 Na 3.14
4 Rh 0.0000 0.0000 0.0000  2 Na 2.70, 6 Rh 2.88

Values from the calculation:
**Symmetry**: R-3m (166)
**E**: -2.870 eV per atom

No. 3
PrPu2Tl3Se6 after structural relaxation, computed with PBE-GGA.

a b c (Å): 7.4161 7.4161 8.1032
angles (deg): 98.77 98.77 119.99
Last column: nearest neighbours and their distance in Å.
Positions (direct):
1 Pr 0.0000 0.0000 0.0000  6 Se 2.99-3.00
2 Pu 0.3332 0.6668 0.0000  6 Se 2.91-2.92
3 Pu 0.6668 0.3332 0.0000  6 Se 2.91-2.92
4 Tl 0.1656 0.8344 0.5000  6 Se 3.31-3.37
5 Tl 0.5000 0.5000 0.5000  6 Se 3.31-3.37
6 Tl 0.8344 0.1656 0.5000  6 Se 3.31-3.37
7 Se 0.0691 0.4113 0.2074  2 Pu 2.92, 1 Pr 3.00
8 Se 0.2737 0.2737 0.7944  2 Pu 2.91, 1 Pr 2.99
9 Se 0.4113 0.0691 0.2074  2 Pu 2.92, 1 Pr 3.00
10 Se 0.5887 0.9309 0.7926  2 Pu 2.92, 1 Pr 3.00
11 Se 0.7263 0.7263 0.2056  2 Pu 2.91, 1 Pr 2.99
12 Se 0.9309 0.5887 0.7926  2 Pu 2.92, 1 Pr 3.00

Values from the calculation:
**Uncorrected formation energy**: -1.1896 eV/atom
**Symmetry**: C2/m (12)

No. 4
RbMnInI4 after structural relaxation, computed with PBE-GGA.

a b c (Å): 8.0092 8.2230 10.0326
angles (deg): 90.00 107.80 90.00
Last column: nearest neighbours and their distance in Å.
Positions (direct):
1 Rb 0.2128 0.2500 0.0443  6 I 3.66-3.89
2 Rb 0.7872 0.7500 0.9557  6 I 3.66-3.89
3 Mn 0.2232 0.7500 0.7881  4 I 2.68-2.71
4 Mn 0.7768 0.2500 0.2119  4 I 2.68-2.71
5 In 0.2472 0.2500 0.5534  5 I 3.49-3.61
6 In 0.7528 0.7500 0.4466  5 I 3.49-3.61
7 I 0.0057 0.5020 0.2823  1 Mn 2.71
8 I 0.0057 0.9980 0.2823  1 Mn 2.71
9 I 0.3794 0.7500 0.0652  1 Mn 2.68
10 I 0.4316 0.7500 0.6243  1 Mn 2.68
11 I 0.5684 0.2500 0.3757  1 Mn 2.68
12 I 0.6206 0.2500 0.9348  1 Mn 2.68
13 I 0.9943 0.0020 0.7177  1 Mn 2.71
14 I 0.9943 0.4980 0.7177  1 Mn 2.71

Values from the calculation:
**Uncorrected formation energy**: -0.7516 eV/atom
**Symmetry**: P2_1/m (11)

No. 5
Fe3Ag after structural relaxation, computed with PBE-GGA.

a b c (Å): 4.6832 4.6832 2.6377
angles (deg): 90.00 90.00 110.98
Last column: nearest neighbours and their distance in Å.
Positions (direct):
1 Fe 0.0000 0.0000 0.0000  10 Fe 2.64-2.69, 2 Ag 2.65
2 Fe 0.0000 0.5000 0.5000  8 Fe 2.64-2.69, 4 Ag 2.69
3 Fe 0.5000 0.0000 0.5000  8 Fe 2.64-2.69, 4 Ag 2.69
4 Ag 0.5000 0.5000 0.0000  2 Ag 2.64, 10 Fe 2.65-2.69

Values from the calculation:
**Symmetry**: Cmmm (65)
**E**: -6.706 eV per atom

No. 6
GaBrF2 after structural relaxation, computed with PBE-GGA.

a b c (Å): 9.1573 9.1573 9.1573
angles (deg): 20.82 20.82 20.82
Last column: nearest neighbours and their distance in Å.
Positions (direct):
1 Ga 0.0000 0.0000 0.0000  6 F 2.14
2 Br 0.5000 0.5000 0.5000  6 Br 3.31, 2 F 3.52
3 F 0.3690 0.3690 0.3690  3 Ga 2.14
4 F 0.6310 0.6310 0.6310  3 Ga 2.14

Values from the calculation:
**Uncorrected formation energy**: -1.3112 eV/atom
**Symmetry**: R-3m (166)

> Number 3 is which compound?

PrPu2Tl3Se6

> Number 5 is which compound?

Fe3Ag